## NdH2Br3 (PBE)

Data for an optimized crystal structure of NdH2Br3.

Lattice parameters (Å, degrees): 8.053 8.053 7.706 90.00 90.00 120.00
Positions (direct):
Nd1 0.000 0.000 0.000
Nd2 0.000 0.000 0.500
H1 0.333 0.667 0.050
H2 0.333 0.667 0.450
H3 0.667 0.333 0.550
H4 0.667 0.333 0.950
Br1 0.158 0.316 0.750
Br2 0.158 0.842 0.750
Br3 0.316 0.158 0.250
Br4 0.684 0.842 0.750
Br5 0.842 0.158 0.250
Br6 0.842 0.684 0.250

Summary:
The uncorrected energy is -19.28 eV per formula unit.